! PBE-GGA LiTe2Mo, relaxed; values from VASP
&SYSTEM
  ibrav = 0, nat = 4, ntyp = 3
/
ATOMIC_SPECIES
Li 6.94 Li.upf
Te 127.60 Te.upf
Mo 95.94 Mo.upf
CELL_PARAMETERS angstrom
1.787 1.031 7.981
-1.787 1.031 7.981
0.000 -2.063 7.981
ATOMIC_POSITIONS crystal
Li 0.000 0.000 0.000
Te 0.244 0.244 0.244
Te 0.756 0.756 0.756
Mo 0.500 0.500 0.500
! **V**: 22.1 Å³/atom
! **SG**: No. 166
! **Raw formation energy**: -19.3 kJ per mole of atoms
! **Raw total energy**: -0.364 Ry per atom